# 1
The following is a DFT calculation (PBE-GGA) of a relaxed KTb2Nd crystal.

Calculated values
magnetization: 0.00 μB/f.u.
formation energy from the elements: 94 kJ/mol of formula units

The structure in POSCAR format:
```
KTb2Nd
1.0
-2.415 -0.721 -2.606
0.824 -2.349 -2.635
-5.479 -11.006 5.604
Nd Tb K
1 2 1
Cartesian
-3.535 -7.038 0.181
-4.073 -8.169 3.515
-2.997 -5.907 -3.152
0.000 0.000 0.000
```

---

# 2
The following is a DFT calculation (PBE-GGA) of a relaxed ThBe2Ir2 crystal.

Calculated values
magnetization: 0.00 μB/f.u.
polymorph energy (0 for the lowest one): 0.0156 eV/atom
formation energy from the elements: -345 kJ/mol of formula units

The structure in POSCAR format:
```
ThBe2Ir2
1.0
-3.621 1.281 1.405
-0.199 -3.262 2.460
4.345 4.848 6.779
Be Ir Th
4 4 2
Cartesian
-1.910 -0.990 1.933
1.559 0.220 3.818
0.876 3.638 4.894
0.000 0.000 0.000
0.262 1.434 5.322
0.439 -1.030 2.070
1.996 4.887 6.641
2.172 2.424 3.389
3.126 1.968 6.263
-0.692 1.889 2.449
```

---

no.,calculated total energy (eV/atom)
1,-3.537
2,-7.234